1.
This record from Alexandria describes an optimized crystal structure of KYCuF6. The functional is PBE-GGA.

**Magnetic moment**: 4.0 Bohr magnetons per cell
**Formation energy from raw total energies**: -2.922 eV/atom

Unit cell a=7.349 b=7.458 c=10.173 alpha=90.00 beta=90.00 gamma=90.00
Space group Imma (No. 74)
Unique sites:
K: 0.000 0.250 0.161 (multiplicity 4)
Y: 0.250 0.250 0.750 (multiplicity 4)
Cu: 0.000 0.000 0.500 (multiplicity 4)
F: 0.000 0.250 0.618 (multiplicity 4)
F: 0.000 0.250 0.877 (multiplicity 4)
F: 0.195 0.020 0.368 (multiplicity 16)

2.
This record from Alexandria describes an optimized crystal structure of K2YCu3F12. The functional is PBE-GGA.

**Magnetic moment**: 10.9 Bohr magnetons per cell
**Formation energy from raw total energies**: -2.360 eV/atom

Unit cell a=7.4972 b=7.4972 c=17.0628 alpha=90.00 beta=90.00 gamma=120.00
Space group R-3m (No. 166, hexagonal axes)
Unique sites:
K: 0.0000 0.0000 0.1189 (multiplicity 6)
Y: 0.0000 0.0000 0.5000 (multiplicity 3)
Cu: 0.0000 0.5000 0.0000 (multiplicity 9)
F: 0.0132 0.5066 0.1159 (multiplicity 18)
F: 0.0773 0.5387 0.3293 (multiplicity 18)

3.
This record from Alexandria describes an optimized crystal structure of KZn2CuF8. The functional is PBE-GGA.

**Magnetic moment**: 2.0 Bohr magnetons per cell
**Formation energy from raw total energies**: -2.060 eV/atom

Unit cell a=5.034 b=5.037 c=7.080 alpha=79.67 beta=79.77 gamma=79.11
Space group P-1 (No. 2)
Unique sites:
K: 0.000 0.000 0.000 (multiplicity 1)
Zn: 0.451 0.450 0.233 (multiplicity 2)
Cu: 0.000 0.000 0.500 (multiplicity 1)
F: 0.191 0.759 0.699 (multiplicity 2)
F: 0.238 0.805 0.302 (multiplicity 2)
F: 0.255 0.250 0.466 (multiplicity 2)
F: 0.340 0.336 0.003 (multiplicity 2)

4.
This record from Alexandria describes an optimized crystal structure of KZnCuF6. The functional is PBE-GGA.

**Magnetic moment**: 5.0 Bohr magnetons per cell
**Formation energy from raw total energies**: -2.043 eV/atom

Unit cell a=7.163 b=7.375 c=10.288 alpha=90.00 beta=90.00 gamma=90.00
Space group Imma (No. 74)
Unique sites:
K: 0.000 0.250 0.112 (multiplicity 4)
Zn: 0.250 0.250 0.750 (multiplicity 4)
Cu: 0.000 0.000 0.500 (multiplicity 4)
F: 0.000 0.250 0.448 (multiplicity 4)
F: 0.000 0.250 0.835 (multiplicity 4)
F: 0.193 0.038 0.626 (multiplicity 16)

5.
This record from Alexandria describes an optimized crystal structure of K3ZnCu2F9. The functional is PBE-GGA.

**Magnetic moment**: 2.0 Bohr magnetons per cell
**Formation energy from raw total energies**: -2.249 eV/atom

Unit cell a=5.7898 b=5.7898 c=7.0910 alpha=90.00 beta=90.00 gamma=120.00
Space group P-3m1 (No. 164)
Unique sites:
K: 0.0000 0.0000 0.0000 (multiplicity 1)
K: 0.3333 0.6667 0.6655 (multiplicity 2)
Zn: 0.0000 0.0000 0.5000 (multiplicity 1)
Cu: 0.3333 0.6667 0.1634 (multiplicity 2)
F: 0.0000 0.5000 0.0000 (multiplicity 3)
F: 0.1668 0.3337 0.3318 (multiplicity 6)

6.
This record from Alexandria describes an optimized crystal structure of K3Zn2CuF9. The functional is PBE-GGA.

**Magnetic moment**: 1.0 Bohr magnetons per cell
**Formation energy from raw total energies**: -2.395 eV/atom

Unit cell a=5.8179 b=5.8179 c=7.1286 alpha=90.00 beta=90.00 gamma=120.00
Space group P-3m1 (No. 164)
Unique sites:
K: 0.0000 0.0000 0.0000 (multiplicity 1)
K: 0.3333 0.6667 0.6644 (multiplicity 2)
Zn: 0.3333 0.6667 0.1672 (multiplicity 2)
Cu: 0.0000 0.0000 0.5000 (multiplicity 1)
F: 0.0000 0.5000 0.0000 (multiplicity 3)
F: 0.1667 0.3334 0.3340 (multiplicity 6)